Entry 1:
# YZnCo

A crystal of YZnCo relaxed with PBEsol (SCAN, the Alexandria database).

```
12
Lattice="6.2902 0.0000 0.0000 0.0000 6.2902 0.0000 0.0000 0.0000 6.2902" Properties=species:S:1:pos:R:3 pbc="T T T"
Y 0.0000 0.0000 0.0000
Y 0.0000 3.1451 3.1451
Y 3.1451 0.0000 3.1451
Y 3.1451 3.1451 0.0000
Zn 1.5726 1.5726 4.7177
Zn 1.5726 4.7177 1.5726
Zn 4.7177 1.5726 1.5726
Zn 4.7177 4.7177 4.7177
Co 1.5726 1.5726 1.5726
Co 1.5726 4.7177 4.7177
Co 4.7177 1.5726 4.7177
Co 4.7177 4.7177 1.5726
```

Values from the calculation:
**DOS(E_F)**: 0.6 states/eV/f.u.
**ΔH_f (0 K)**: 0.72 eV/atom

***

Entry 2:
# Y2ZnCo

A crystal of Y2ZnCo relaxed with PBEsol (SCAN, the Alexandria database).

```
8
Lattice="4.1883 0.0000 0.0000 0.0000 3.7783 0.0000 0.0000 0.0000 10.4213" Properties=species:S:1:pos:R:3 pbc="T T T"
Y 0.0000 0.0000 0.0000
Y 0.0000 1.8891 5.2107
Y 2.0942 0.0000 2.9334
Y 2.0942 1.8891 8.1441
Zn 2.0942 0.0000 5.9886
Zn 2.0942 1.8891 0.7779
Co 0.0000 0.0000 7.3406
Co 0.0000 1.8891 2.1300
```

Values from the calculation:
**DOS(E_F)**: 3.2 states/eV/f.u.
**ΔH_f (0 K)**: -0.23 eV/atom

***

Entry 3:
# YZrCo4

A crystal of YZrCo4 relaxed with PBEsol (SCAN, the Alexandria database).

```
6
Lattice="0.0000 3.4424 3.4424 3.4424 0.0000 3.4424 3.4424 3.4424 0.0000" Properties=species:S:1:pos:R:3 pbc="T T T"
Y 0.0000 0.0000 0.0000
Zr 1.7212 1.7212 1.7212
Co 4.3011 2.5837 2.5837
Co 2.5837 4.3011 2.5837
Co 2.5837 2.5837 4.3011
Co 4.3011 4.3011 4.3011
```

Values from the calculation:
**DOS(E_F)**: 3.0 states/eV/f.u.
**ΔH_f (0 K)**: -0.15 eV/atom

***

Entry 4:
# ZnCo3

A crystal of ZnCo3 relaxed with PBEsol (SCAN, the Alexandria database).

```
4
Lattice="2.5017 0.0000 0.0000 -1.2508 2.1665 0.0000 0.0000 0.0000 8.0137" Properties=species:S:1:pos:R:3 pbc="T T T"
Zn 0.0000 0.0000 0.0000
Co 0.0000 0.0000 4.0068
Co 0.0000 1.4444 2.0929
Co 0.0000 1.4444 5.9207
```

Values from the calculation:
**DOS(E_F)**: 3.3 states/eV/f.u.
**ΔH_f (0 K)**: 0.07 eV/atom

***

| no. | VASP energy (eV/atom) |
| --- | --- |
| 1 | -18.83 |
| 2 | -21.86 |
| 3 | -21.44 |
| 4 | -16.29 |